[1]
Compound: Cs2TbHBr6
Source: Alexandria
Functional: PBE-GGA
Structure: relaxed

Structure (extended XYZ):
```
10
Lattice="4.622 -6.281 0.000 4.622 6.281 0.000 -4.616 0.000 6.269" Properties=species:S:1:pos:R:3 pbc="T T T"
Cs 4.622 3.138 0.000
Cs 4.622 -3.138 0.000
Tb -2.308 0.000 3.134
H 2.314 0.000 3.134
Br -2.311 0.000 5.911
Br 2.314 3.503 3.134
Br 0.608 0.000 3.143
Br 4.019 0.000 3.125
Br 2.314 -3.503 3.134
Br 6.938 0.000 0.357
```

Results
The calculated volume is 36.39 Å³ per atom. The calculation puts the total magnetization at 0.00 μB/cell. Its space group is C2/m. As for the energy: -3.4659 eV per atom.

[2]
Compound: Te2P2Pb
Source: Alexandria
Functional: PBE-GGA
Structure: relaxed

Structure (extended XYZ):
```
10
Lattice="8.682 0.000 0.000 0.000 8.682 0.000 0.000 0.000 3.633" Properties=species:S:1:pos:R:3 pbc="T T T"
Te 1.303 3.037 0.000
Te 3.037 7.378 0.000
Te 5.644 1.303 0.000
Te 7.378 5.644 0.000
P 1.765 6.105 1.817
P 2.576 1.765 1.817
P 6.105 6.917 1.817
P 6.917 2.576 1.817
Pb 0.000 0.000 0.000
Pb 4.341 4.341 0.000
```

Results
The calculated volume is 27.38 Å³ per atom. The calculation puts the total magnetization at 0.00 μB/cell. Its space group is P4/mbm. For the energy relative to the lowest polymorph listed for this composition, the calculation gives 79 meV per atom. As for the energy: -3.8716 eV per atom. As for the formation energy without anion corrections: 0.29 eV/atom.

[3]
Compound: ScCoNi2H6
Source: Alexandria
Functional: PBE-GGA
Structure: relaxed

Structure (extended XYZ):
```
10
Lattice="4.425 0.000 0.000 2.212 3.837 0.000 2.210 1.281 4.119" Properties=species:S:1:pos:R:3 pbc="T T T"
Sc 0.000 0.000 0.000
Co 4.425 2.559 1.203
Ni 2.212 1.278 1.422
Ni 6.637 3.829 2.645
H 3.084 2.453 2.281
H 5.008 3.771 2.279
H 4.364 3.834 0.225
H 3.352 1.867 0.222
H 5.179 1.439 2.275
H 5.557 1.974 0.220
```

Results
The calculated volume is 6.99 Å³ per atom. The calculation puts the total magnetization at 0.14 μB/cell. Its space group is P1. As for the energy: -4.7685 eV per atom.

[4]
Compound: BaTmTe2O8
Source: Alexandria
Functional: PBE-GGA
Structure: relaxed

Structure (extended XYZ):
```
12
Lattice="6.038 0.000 0.000 -3.019 5.229 0.000 0.000 0.000 7.661" Properties=species:S:1:pos:R:3 pbc="T T T"
Ba 0.000 0.000 0.000
Tm 0.000 0.000 3.831
Te 0.000 3.486 5.795
Te 3.019 1.743 1.867
O -0.017 1.650 5.306
O -1.581 4.418 5.306
O 1.421 0.840 2.355
O 0.000 3.486 7.635
O 3.019 1.743 0.026
O 1.598 4.389 5.306
O 4.600 0.811 2.355
O 3.036 3.578 2.355
```

Results
The calculated volume is 20.15 Å³ per atom. The calculation puts the total magnetization at 0.00 μB/cell. Its space group is P-3. As for the energy: -6.1316 eV per atom. As for the formation energy without anion corrections: -1.77 eV/atom.

[5]
Compound: Na2SrSbCl8
Source: Alexandria
Functional: PBE-GGA
Structure: relaxed

Structure (extended XYZ):
```
12
Lattice="6.496 0.000 0.000 0.000 8.547 0.000 -0.361 0.000 6.623" Properties=species:S:1:pos:R:3 pbc="T T T"
Na 0.000 2.067 0.000
Na 0.000 6.481 0.000
Sr 3.067 0.000 3.312
Sb 3.067 4.274 3.312
Cl 1.287 0.000 1.177
Cl 1.459 4.274 1.337
Cl 1.682 2.429 4.423
Cl 1.682 6.119 4.423
Cl 4.452 2.429 2.200
Cl 4.452 6.119 2.200
Cl 4.676 4.274 5.286
Cl 4.847 0.000 5.447
```

Results
The calculated volume is 30.65 Å³ per atom. The calculation puts the total magnetization at 0.00 μB/cell. Its space group is P2/m. As for the energy: -3.4052 eV per atom. As for the formation energy without anion corrections: -1.47 eV/atom.

[6]
Compound: TlPtS2N
Source: Alexandria
Functional: PBE-GGA
Structure: relaxed

Structure (extended XYZ):
```
5
Lattice="5.158 0.000 0.000 0.000 5.158 0.000 0.000 0.000 3.988" Properties=species:S:1:pos:R:3 pbc="T T T"
Tl 0.000 0.000 0.000
Pt 2.579 2.579 1.994
S 0.000 2.579 0.000
S 2.579 0.000 0.000
N 0.000 0.000 1.994
```

Results
The calculated volume is 21.22 Å³ per atom. The calculation puts the total magnetization at 0.00 μB/cell. Its space group is P4/mmm. For the energy relative to the lowest polymorph listed for this composition, the calculation gives 1413 meV per atom. As for the energy: -3.1037 eV per atom. As for the formation energy without anion corrections: 1.89 eV/atom.

[7]
Compound: SmEr2F
Source: Alexandria
Functional: PBE-GGA
Structure: relaxed

Structure (extended XYZ):
```
4
Lattice="1.795 1.036 9.305 -1.795 1.036 9.305 0.000 -2.072 9.305" Properties=species:S:1:pos:R:3 pbc="T T T"
Sm 0.000 0.000 0.000
Er 0.000 0.000 3.312
Er 0.000 0.000 24.604
F 0.000 0.000 13.958
```

Results
The calculated volume is 25.96 Å³ per atom. The calculation puts the total magnetization at 0.00 μB/cell. Its space group is R-3m. As for the energy: -4.7838 eV per atom. As for the formation energy without anion corrections: -0.85 eV/atom.

[8]
Compound: La3PmZn
Source: Alexandria
Functional: PBE-GGA
Structure: relaxed

Structure (extended XYZ):
```
10
Lattice="4.189 -7.592 0.000 4.189 7.592 0.000 0.000 0.000 5.367" Properties=species:S:1:pos:R:3 pbc="T T T"
La 4.189 6.223 4.026
La 2.466 2.374 4.026
La 2.466 -2.374 1.342
La 5.912 2.374 4.026
La 5.912 -2.374 1.342
La 4.189 -6.223 1.342
Pm 4.189 0.820 1.342
Pm 4.189 -0.820 4.026
Zn 4.189 3.673 1.342
Zn 4.189 -3.673 4.026
```

Results
The formation energy comes out at 3 meV/atom. The calculated volume is 34.14 Å³ per atom. The calculation puts the total magnetization at 0.00 μB/cell. Its space group is Cmcm. For the energy relative to the lowest polymorph listed for this composition, the calculation gives 113 meV per atom. As for the energy: -4.1585 eV per atom.

[9]
Compound: Sr2ThHgTe5
Source: Alexandria
Functional: PBE-GGA
Structure: relaxed

Structure (extended XYZ):
```
18
Lattice="2.277 -9.936 0.000 2.277 9.936 0.000 0.000 0.000 14.084" Properties=species:S:1:pos:R:3 pbc="T T T"
Sr 2.277 7.722 7.042
Sr 2.277 7.473 1.943
Sr 2.277 -7.473 8.985
Sr 2.277 -7.722 0.000
Th 2.277 5.878 11.752
Th 2.277 -5.878 4.710
Hg 2.277 1.005 3.759
Hg 2.277 -1.005 10.802
Te 2.277 8.935 12.508
Te 2.277 4.205 6.877
Te 2.277 3.899 2.510
Te 2.277 2.780 11.595
Te 2.277 0.053 8.251
Te 2.277 -0.053 1.209
Te 2.277 -2.780 4.553
Te 2.277 -3.899 9.552
Te 2.277 -4.205 13.919
Te 2.277 -8.935 5.465
```

Results
The calculated volume is 35.40 Å³ per atom. The calculation puts the total magnetization at 0.00 μB/cell. Its space group is Cmc2_1. As for the energy: -4.1543 eV per atom. As for the formation energy without anion corrections: -1.18 eV/atom.

[10]
Compound: CaZn2Au
Source: Alexandria
Functional: PBE-GGA
Structure: relaxed

Structure (extended XYZ):
```
4
Lattice="2.240 1.293 5.001 -2.240 1.293 5.001 0.000 -2.587 5.001" Properties=species:S:1:pos:R:3 pbc="T T T"
Ca 0.000 0.000 0.000
Zn 0.000 0.000 3.041
Zn 0.000 0.000 7.353
Au 0.000 0.000 11.934
```

Results
The formation energy comes out at -404 meV/atom. The calculated volume is 21.74 Å³ per atom. The calculation puts the total magnetization at 0.00 μB/cell. Its space group is R3m. As for the energy: -2.3607 eV per atom.

[11]
Compound: SmYZnRu
Source: Alexandria
Functional: PBE-GGA
Structure: relaxed

Structure (extended XYZ):
```
4
Lattice="4.338 0.000 0.000 0.000 1.994 5.319 0.000 -1.994 5.319" Properties=species:S:1:pos:R:3 pbc="T T T"
Sm 0.000 0.000 0.000
Y 2.169 0.000 3.001
Zn 2.169 0.000 6.121
Ru 0.000 0.000 7.626
```

Results
The formation energy comes out at -295 meV/atom. The calculated volume is 23.01 Å³ per atom. The calculation puts the total magnetization at 0.00 μB/cell. Its space group is Amm2. For the energy relative to the lowest polymorph listed for this composition, the calculation gives 12 meV per atom. As for the energy: -5.7282 eV per atom.